Density functional theory data (PBE) for a relaxed Mg3B2Pt9 crystal.

Summary:
- Total magnetization: 0.0000 μB per atom

Geometry as CIF:
```
data_Mg3B2Pt9
_cell_length_a 5.7704
_cell_length_b 5.7704
_cell_length_c 14.5059
_cell_angle_alpha 90.00
_cell_angle_beta 90.00
_cell_angle_gamma 120.00
_space_group_name_H-M_alt 'P 63/m m c'
_space_group_IT_number 194
_space_group_name_Hall '-P 6c 2c'
loop_
_atom_site_label
_atom_site_type_symbol
_atom_site_fract_x
_atom_site_fract_y
_atom_site_fract_z
_atom_site_occupancy
Mg1 Mg 0.0000 0.0000 0.2500 1
Mg2 Mg 0.3333 0.6667 0.0791 1
B1 B 0.3333 0.6667 0.6602 1
Pt1 Pt 0.0108 0.5054 0.2500 1
Pt2 Pt 0.1612 0.3225 0.5798 1
```

Density functional theory data (PBE) for a relaxed MgBPt3 crystal.

Summary:
- Total magnetization: 0.0000 μB per atom

Geometry as CIF:
```
data_MgBPt3
_cell_length_a 11.739
_cell_length_b 10.418
_cell_length_c 5.517
_cell_angle_alpha 90.00
_cell_angle_beta 116.10
_cell_angle_gamma 90.00
_space_group_name_H-M_alt 'C 1 2/c 1'
_space_group_IT_number 15
loop_
_space_group_symop_operation_xyz
'x,y,z'
'-x,-y,-z'
'-x,y,-z+1/2'
'x,-y,z+1/2'
'x+1/2,y+1/2,z'
'-x+1/2,-y+1/2,-z'
'-x+1/2,y+1/2,-z+1/2'
'x+1/2,-y+1/2,z+1/2'
loop_
_atom_site_label
_atom_site_type_symbol
_atom_site_fract_x
_atom_site_fract_y
_atom_site_fract_z
_atom_site_occupancy
Mg1 Mg 0.000 0.016 0.250 1
Mg2 Mg 0.000 0.392 0.250 1
B1 B 0.244 0.115 0.362 1
Pt1 Pt 0.090 0.204 0.029 1
Pt2 Pt 0.163 0.201 0.605 1
Pt3 Pt 0.193 0.444 0.927 1
```

Density functional theory data (PBE) for a relaxed Mg2BPt crystal.

Summary:
- Total magnetization: 0.0000 μB per atom

Geometry as CIF:
```
data_Mg2BPt
_cell_length_a 9.089
_cell_length_b 9.089
_cell_length_c 4.054
_cell_angle_alpha 90.00
_cell_angle_beta 90.00
_cell_angle_gamma 90.00
_space_group_name_H-M_alt 'I -4 2 d'
_space_group_IT_number 122
_space_group_name_Hall 'I -4 2bw'
loop_
_atom_site_label
_atom_site_type_symbol
_atom_site_fract_x
_atom_site_fract_y
_atom_site_fract_z
_atom_site_occupancy
Mg1 Mg 0.003 0.250 0.125 1
B1 B 0.000 0.000 0.000 1
Pt1 Pt 0.000 0.000 0.500 1
```

Density functional theory data (PBE) for a relaxed MgBPt3 crystal.

Summary:
- Total magnetization: 0.0000 μB per atom

Geometry as CIF:
```
data_MgBPt3
_cell_length_a 7.971
_cell_length_b 3.937
_cell_length_c 9.235
_cell_angle_alpha 90.00
_cell_angle_beta 90.00
_cell_angle_gamma 90.00
_space_group_name_H-M_alt 'P n m a'
_space_group_IT_number 62
loop_
_space_group_symop_operation_xyz
'x,y,z'
'-x,-y,-z'
'-x+1/2,-y,z+1/2'
'x+1/2,y,-z+1/2'
'x+1/2,-y+1/2,-z+1/2'
'-x+1/2,y+1/2,z+1/2'
'-x,y+1/2,-z'
'x,-y+1/2,z'
loop_
_atom_site_label
_atom_site_type_symbol
_atom_site_fract_x
_atom_site_fract_y
_atom_site_fract_z
_atom_site_occupancy
Mg1 Mg 0.154 0.250 0.000 1
B1 B 0.063 0.250 0.329 1
Pt1 Pt 0.096 0.750 0.220 1
Pt2 Pt 0.116 0.250 0.548 1
Pt3 Pt 0.162 0.750 0.791 1
```

Density functional theory data (PBE) for a relaxed MgB3Pt6 crystal.

Summary:
- Total magnetization: 0.0000 μB per atom

Geometry as CIF:
```
data_MgB3Pt6
_cell_length_a 5.458
_cell_length_b 5.529
_cell_length_c 5.532
_cell_angle_alpha 119.00
_cell_angle_beta 98.75
_cell_angle_gamma 98.29
_space_group_name_H-M_alt 'P 1'
_space_group_IT_number 1
loop_
_space_group_symop_operation_xyz
'x,y,z'
loop_
_atom_site_label
_atom_site_type_symbol
_atom_site_fract_x
_atom_site_fract_y
_atom_site_fract_z
_atom_site_occupancy
Mg1 Mg 0.000 0.000 0.000 1
B1 B 0.501 0.847 0.845 1
B2 B 0.834 0.284 0.629 1
B3 B 0.834 0.630 0.282 1
Pt1 Pt 0.117 0.038 0.512 1
Pt2 Pt 0.117 0.512 0.038 1
Pt3 Pt 0.128 0.566 0.566 1
Pt4 Pt 0.581 0.888 0.251 1
Pt5 Pt 0.582 0.252 0.886 1
Pt6 Pt 0.602 0.508 0.505 1
```

Density functional theory data (PBE) for a relaxed MgBPt3 crystal.

Summary:
- Total magnetization: 0.0000 μB per atom

Geometry as CIF:
```
data_MgBPt3
_cell_length_a 4.3003
_cell_length_b 4.3003
_cell_length_c 8.6815
_cell_angle_alpha 90.00
_cell_angle_beta 90.00
_cell_angle_gamma 120.00
_space_group_name_H-M_alt 'P 63/m m c'
_space_group_IT_number 194
_space_group_name_Hall '-P 6c 2c'
loop_
_atom_site_label
_atom_site_type_symbol
_atom_site_fract_x
_atom_site_fract_y
_atom_site_fract_z
_atom_site_occupancy
Mg1 Mg 0.3333 0.6667 0.2500 1
B1 B 0.0000 0.0000 0.0000 1
Pt1 Pt 0.0000 0.0000 0.2500 1
Pt2 Pt 0.3333 0.6667 0.5731 1
```

Density functional theory data (PBE) for a relaxed MgBPt3 crystal.

Summary:
- Total magnetization: 0.0000 μB per atom

Geometry as CIF:
```
data_MgBPt3
_cell_length_a 5.121
_cell_length_b 5.121
_cell_length_c 13.184
_cell_angle_alpha 90.00
_cell_angle_beta 90.00
_cell_angle_gamma 90.00
_space_group_name_H-M_alt 'I -4 m 2'
_space_group_IT_number 119
_space_group_name_Hall 'I -4 -2'
loop_
_atom_site_label
_atom_site_type_symbol
_atom_site_fract_x
_atom_site_fract_y
_atom_site_fract_z
_atom_site_occupancy
Mg1 Mg 0.000 0.000 0.175 1
B1 B 0.000 0.000 0.500 1
B2 B 0.000 0.500 0.250 1
Pt1 Pt 0.000 0.253 0.376 1
Pt2 Pt 0.000 0.500 0.568 1
```

Density functional theory data (PBE) for a relaxed MgBPt3 crystal.

Summary:
- Total magnetization: 0.0000 μB per atom

Geometry as CIF:
```
data_MgBPt3
_cell_length_a 12.965
_cell_length_b 4.468
_cell_length_c 5.383
_cell_angle_alpha 90.00
_cell_angle_beta 90.51
_cell_angle_gamma 90.00
_space_group_name_H-M_alt 'C 1 2/m 1'
_space_group_IT_number 12
loop_
_space_group_symop_operation_xyz
'x,y,z'
'-x,-y,-z'
'-x,y,-z'
'x,-y,z'
'x+1/2,y+1/2,z'
'-x+1/2,-y+1/2,-z'
'-x+1/2,y+1/2,-z'
'x+1/2,-y+1/2,z'
loop_
_atom_site_label
_atom_site_type_symbol
_atom_site_fract_x
_atom_site_fract_y
_atom_site_fract_z
_atom_site_occupancy
Mg1 Mg 0.112 0.000 0.150 1
B1 B 0.133 0.500 0.536 1
Pt1 Pt 0.017 0.500 0.256 1
Pt2 Pt 0.184 0.500 0.910 1
Pt3 Pt 0.215 0.000 0.615 1
```

Number 1: E -162.64 eV/cell, formation energy from the elements -8.815 eV per formula unit. Number 2: E -228.23 eV/cell, formation energy from the elements -2.134 eV per formula unit. Number 3: E -66.02 eV/cell, formation energy from the elements -0.597 eV per formula unit. Number 4: E -116.38 eV/cell, formation energy from the elements -2.700 eV per formula unit. Number 5: E -61.74 eV/cell, formation energy from the elements -3.868 eV per formula unit. Number 6: E -55.73 eV/cell, formation energy from the elements -1.468 eV per formula unit. Number 7: E -108.79 eV/cell, formation energy from the elements -0.802 eV per formula unit. Number 8: E -113.75 eV/cell, formation energy from the elements -2.043 eV per formula unit.